Compound: Ac15NdY4
Source: Alexandria
Functional: GGA-PBE
Structure: optimized geometry

a = 5.5147 Å, b = 5.5147 Å, c = 27.4355 Å
α = 90.00°, β = 90.00°, γ = 90.00°
Fractional coordinates of all 20 atoms:
Ac1 0.5000 0.0000 0.1008
Y1 0.0000 0.0000 0.4001
Ac2 0.5000 0.5000 0.4002
Ac3 0.0000 0.5000 0.5000
Ac4 0.5000 0.0000 0.8992
Nd1 0.0000 0.0000 0.0000
Ac5 0.0000 0.5000 0.8992
Ac6 0.5000 0.0000 0.3004
Ac7 0.5000 0.5000 0.0000
Y2 0.0000 0.0000 0.2008
Y3 0.0000 0.0000 0.5999
Ac8 0.5000 0.0000 0.5000
Ac9 0.0000 0.5000 0.3004
Ac10 0.5000 0.5000 0.7994
Ac11 0.0000 0.5000 0.1008
Ac12 0.5000 0.5000 0.2006
Ac13 0.0000 0.5000 0.6996
Ac14 0.5000 0.5000 0.5998
Y4 0.0000 0.0000 0.7992
Ac15 0.5000 0.0000 0.6996

Summary:
Energy relative to the elements   25.4 meV per atom
SG   No. 123



Compound: LaBeCr2Pt
Source: Alexandria
Functional: GGA-PBE
Structure: optimized geometry

a = 4.5094 Å, b = 4.3669 Å, c = 4.5094 Å
α = 90.00°, β = 90.00°, γ = 90.00°
Site moments in Bohr magnetons follow the coordinates.
Fractional coordinates of all 5 atoms:
La1 0.5000 0.5000 0.5000  0.06
Cr1 0.5000 0.0000 0.0000  2.92
Be1 0.0000 0.0000 0.0000  -0.03
Pt1 0.0000 0.5000 0.0000  0.04
Cr2 0.0000 0.0000 0.5000  3.39

Summary:
Energy relative to the elements   110.7 meV per atom
SG   No. 123



Compound: Rb2CeScS4
Source: Alexandria
Functional: GGA-PBE
Structure: optimized geometry

a = 4.0651 Å, b = 7.0202 Å, c = 7.9987 Å
α = 106.91°, β = 90.00°, γ = 90.00°
Site moments in Bohr magnetons follow the coordinates.
Fractional coordinates of all 8 atoms:
Ce1 0.5000 0.5000 0.0000  0.88
S1 0.5000 0.7874 0.8146  -0.01
S2 0.5000 0.2126 0.1854  -0.01
S3 0.0000 0.7492 0.1923  -0.01
Rb1 0.0000 0.5000 0.5000  0.00
Sc1 0.0000 0.0000 0.0000  0.06
S4 0.0000 0.2508 0.8077  -0.01
Rb2 0.5000 0.0000 0.5000  0.00

Summary:
Energy relative to the elements, uncorrected   -1322 kJ/mol of formula units
SG   No. 10



Compound: Pr4ZrHg5
Source: Alexandria
Functional: GGA-PBE
Structure: optimized geometry

a = 3.7719 Å, b = 3.7719 Å, c = 19.1960 Å
α = 90.00°, β = 90.00°, γ = 90.00°
Site moments in Bohr magnetons follow the coordinates.
Fractional coordinates of all 10 atoms:
Zr1 0.0000 0.0000 0.0000  0.03
Hg1 0.5000 0.5000 0.9175  0.01
Hg2 0.5000 0.5000 0.2923  0.02
Pr1 0.0000 0.0000 0.8134  0.13
Pr2 0.0000 0.0000 0.6042  0.18
Hg3 0.5000 0.5000 0.5000  0.01
Hg4 0.5000 0.5000 0.7077  0.02
Pr3 0.0000 0.0000 0.3958  0.18
Hg5 0.5000 0.5000 0.0825  0.01
Pr4 0.0000 0.0000 0.1866  0.13

Summary:
Energy relative to the elements   -376.5 meV per atom
SG   No. 123



Compound: CoSb2W
Source: Alexandria
Functional: GGA-PBE
Structure: optimized geometry

a = 4.9739 Å, b = 3.1905 Å, c = 4.5715 Å
α = 90.01°, β = 90.00°, γ = 90.00°
Site moments in Bohr magnetons follow the coordinates.
Fractional coordinates of all 4 atoms:
Sb1 0.5000 0.3750 0.2624  -0.01
Sb2 0.0000 0.8752 0.9894  -0.01
Co1 0.5000 0.8748 0.7384  0.37
W1 0.0000 0.3750 0.5097  -0.02

Summary:
Energy relative to the elements, uncorrected   178 kJ/mol of formula units
SG   No. 25



Compound: TbGaSnAu
Source: Alexandria
Functional: GGA-PBE
Structure: optimized geometry

a = 5.0243 Å, b = 5.0243 Å, c = 5.0243 Å
α = 60.00°, β = 60.00°, γ = 60.00°
Fractional coordinates of all 4 atoms:
Tb1 0.7500 0.7500 0.7500
Sn1 0.2500 0.2500 0.2500
Au1 0.0000 0.0000 0.0000
Ga1 0.5000 0.5000 0.5000

Summary:
Energy relative to the elements   -448.0 meV per atom
SG   No. 216



Magnetic moment? In order: 0.00; 6.95; 1.01; 1.34; 0.31; 0.00 Bohr magnetons per cell.